Entry 1:
Entry from Alexandria via LeMat-Bulk: a relaxed structure of YHo6Tm3Th2 (PBE).

Space group ... C2/m
Raw total energy ... -61.83 eV for the cell shown
Calculated formation energy ... 3 kJ/mol of atoms
Volume ... 31.1 Å³ per atom
Spin magnetization ... 0.0 μB per cell

CIF file:
```
data_YHo6Tm3Th2
_cell_length_a 6.120
_cell_length_b 6.120
_cell_length_c 11.693
_cell_angle_alpha 95.02
_cell_angle_beta 95.02
_cell_angle_gamma 119.95
_symmetry_space_group_name_H-M 'P 1'
_symmetry_Int_Tables_number 1
_symmetry_space_group_name_Hall 'P 1'
loop_
_atom_site_label
_atom_site_type_symbol
_atom_site_fract_x
_atom_site_fract_y
_atom_site_fract_z
_atom_site_occupancy
Ho1 Ho 0.421 0.084 0.250 1
Ho2 Ho 0.579 0.916 0.750 1
Ho3 Ho 0.916 0.579 0.750 1
Ho4 Ho 0.253 0.253 0.750 1
Ho5 Ho 0.084 0.421 0.250 1
Ho6 Ho 0.747 0.747 0.250 1
Y1 Y 0.000 0.000 0.000 1
Tm1 Tm 0.500 0.500 0.500 1
Tm2 Tm 0.166 0.834 0.500 1
Tm3 Tm 0.834 0.166 0.500 1
Th1 Th 0.667 0.333 0.000 1
Th2 Th 0.333 0.667 0.000 1
```

***

Entry 2:
Entry from Alexandria via LeMat-Bulk: a relaxed structure of Y6Ho2TmTh (PBE).

Space group ... C2/c
Raw total energy ... -116.68 eV for the cell shown
Calculated formation energy ... 14 kJ/mol of atoms
Volume ... 32.3 Å³ per atom
Spin magnetization ... 0.0 μB per cell

CIF file:
```
data_Y6Ho2TmTh
_cell_length_a 9.176
_cell_length_b 8.898
_cell_length_c 8.898
_cell_angle_alpha 116.84
_cell_angle_beta 91.93
_cell_angle_gamma 91.93
_symmetry_space_group_name_H-M 'P 1'
_symmetry_Int_Tables_number 1
_symmetry_space_group_name_Hall 'P 1'
loop_
_atom_site_label
_atom_site_type_symbol
_atom_site_fract_x
_atom_site_fract_y
_atom_site_fract_z
_atom_site_occupancy
Tm1 Tm 0.250 0.419 0.581 1
Tm2 Tm 0.750 0.581 0.419 1
Y1 Y 0.559 0.775 0.124 1
Y2 Y 0.308 0.999 0.435 1
Y3 Y 0.896 0.282 0.519 1
Y4 Y 0.104 0.718 0.481 1
Y5 Y 0.192 0.565 0.001 1
Y6 Y 0.604 0.481 0.718 1
Y7 Y 0.692 0.001 0.565 1
Y8 Y 0.441 0.225 0.876 1
Y9 Y 0.808 0.435 0.999 1
Y10 Y 0.396 0.519 0.282 1
Y11 Y 0.059 0.124 0.775 1
Y12 Y 0.941 0.876 0.225 1
Th1 Th 0.250 0.966 0.034 1
Th2 Th 0.750 0.034 0.966 1
Ho1 Ho 0.558 0.203 0.311 1
Ho2 Ho 0.942 0.689 0.797 1
Ho3 Ho 0.058 0.311 0.203 1
Ho4 Ho 0.442 0.797 0.689 1
```

***

Entry 3:
Entry from Alexandria via LeMat-Bulk: a relaxed structure of YHo2TmTh (PBE).

Space group ... Cmcm
Raw total energy ... -50.88 eV for the cell shown
Calculated formation energy ... 40 kJ/mol of atoms
Volume ... 33.5 Å³ per atom
Spin magnetization ... 0.0 μB per cell

CIF file:
```
data_YHo2TmTh
_cell_length_a 6.341
_cell_length_b 6.371
_cell_length_c 8.890
_cell_angle_alpha 111.00
_cell_angle_beta 90.00
_cell_angle_gamma 90.00
_symmetry_space_group_name_H-M 'P 1'
_symmetry_Int_Tables_number 1
_symmetry_space_group_name_Hall 'P 1'
loop_
_atom_site_label
_atom_site_type_symbol
_atom_site_fract_x
_atom_site_fract_y
_atom_site_fract_z
_atom_site_occupancy
Ho1 Ho 0.500 0.752 0.000 1
Ho2 Ho 0.000 0.248 0.000 1
Ho3 Ho 0.500 0.248 0.000 1
Ho4 Ho 0.000 0.752 0.000 1
Th1 Th 0.250 0.844 0.688 1
Th2 Th 0.750 0.156 0.312 1
Y1 Y 0.250 0.657 0.314 1
Y2 Y 0.750 0.343 0.686 1
Tm1 Tm 0.750 0.761 0.521 1
Tm2 Tm 0.250 0.239 0.479 1
```

***

Entry 4:
Entry from Alexandria via LeMat-Bulk: a relaxed structure of YHo6Tm2Th (PBE).

Space group ... C2/c
Raw total energy ... -97.76 eV for the cell shown
Calculated formation energy ... 14 kJ/mol of atoms
Volume ... 31.7 Å³ per atom
Spin magnetization ... 0.0 μB per cell

CIF file:
```
data_YHo6Tm2Th
_cell_length_a 9.546
_cell_length_b 8.692
_cell_length_c 8.692
_cell_angle_alpha 117.42
_cell_angle_beta 93.97
_cell_angle_gamma 93.97
_symmetry_space_group_name_H-M 'P 1'
_symmetry_Int_Tables_number 1
_symmetry_space_group_name_Hall 'P 1'
loop_
_atom_site_label
_atom_site_type_symbol
_atom_site_fract_x
_atom_site_fract_y
_atom_site_fract_z
_atom_site_occupancy
Ho1 Ho 0.120 0.705 0.497 1
Ho2 Ho 0.880 0.295 0.503 1
Ho3 Ho 0.816 0.426 0.974 1
Ho4 Ho 0.942 0.877 0.251 1
Ho5 Ho 0.380 0.503 0.295 1
Ho6 Ho 0.442 0.251 0.877 1
Ho7 Ho 0.316 0.974 0.426 1
Ho8 Ho 0.558 0.749 0.123 1
Ho9 Ho 0.620 0.497 0.705 1
Ho10 Ho 0.184 0.574 0.026 1
Ho11 Ho 0.684 0.026 0.574 1
Ho12 Ho 0.058 0.123 0.749 1
Tm1 Tm 0.955 0.702 0.807 1
Tm2 Tm 0.545 0.193 0.298 1
Tm3 Tm 0.455 0.807 0.702 1
Tm4 Tm 0.045 0.298 0.193 1
Th1 Th 0.250 0.406 0.594 1
Th2 Th 0.750 0.594 0.406 1
Y1 Y 0.750 0.024 0.976 1
Y2 Y 0.250 0.976 0.024 1
```

***

Copy entry 4 word for word.
Entry from Alexandria via LeMat-Bulk: a relaxed structure of YHo6Tm2Th (PBE).

Space group ... C2/c
Raw total energy ... -97.76 eV for the cell shown
Calculated formation energy ... 14 kJ/mol of atoms
Volume ... 31.7 Å³ per atom
Spin magnetization ... 0.0 μB per cell

CIF file:
```
data_YHo6Tm2Th
_cell_length_a 9.546
_cell_length_b 8.692
_cell_length_c 8.692
_cell_angle_alpha 117.42
_cell_angle_beta 93.97
_cell_angle_gamma 93.97
_symmetry_space_group_name_H-M 'P 1'
_symmetry_Int_Tables_number 1
_symmetry_space_group_name_Hall 'P 1'
loop_
_atom_site_label
_atom_site_type_symbol
_atom_site_fract_x
_atom_site_fract_y
_atom_site_fract_z
_atom_site_occupancy
Ho1 Ho 0.120 0.705 0.497 1
Ho2 Ho 0.880 0.295 0.503 1
Ho3 Ho 0.816 0.426 0.974 1
Ho4 Ho 0.942 0.877 0.251 1
Ho5 Ho 0.380 0.503 0.295 1
Ho6 Ho 0.442 0.251 0.877 1
Ho7 Ho 0.316 0.974 0.426 1
Ho8 Ho 0.558 0.749 0.123 1
Ho9 Ho 0.620 0.497 0.705 1
Ho10 Ho 0.184 0.574 0.026 1
Ho11 Ho 0.684 0.026 0.574 1
Ho12 Ho 0.058 0.123 0.749 1
Tm1 Tm 0.955 0.702 0.807 1
Tm2 Tm 0.545 0.193 0.298 1
Tm3 Tm 0.455 0.807 0.702 1
Tm4 Tm 0.045 0.298 0.193 1
Th1 Th 0.250 0.406 0.594 1
Th2 Th 0.750 0.594 0.406 1
Y1 Y 0.750 0.024 0.976 1
Y2 Y 0.250 0.976 0.024 1
```